A plane-wave DFT calculation with PBE-GGA was carried out for an optimized crystal structure of HoP2Os.

Calculated values
The total energy is -89.18 eV/cell. For the energy of formation, the calculation gives -0.775 eV/atom. As for the calculated volume: 207 Å³/cell.

a = 3.8473 Å, b = 3.8473 Å, c = 16.1480 Å
α = 90.00°, β = 90.00°, γ = 120.00°
Space group R-3m (No. 166, hexagonal axes)
Unique sites:
Ho1 0.0000 0.0000 0.0000 (multiplicity 3)
P1 0.0000 0.0000 0.2296 (multiplicity 6)
Os1 0.0000 0.0000 0.5000 (multiplicity 3)


A plane-wave DFT calculation with PBE-GGA was carried out for an optimized crystal structure of InSiI3.

Calculated values
The total energy is -10.57 eV/cell. The energy relative to the elements, uncorrected comes out at 0.449 eV/atom. As for the calculated volume: 210 Å³/cell.

a = 5.946 Å, b = 5.946 Å, c = 5.946 Å
α = 90.00°, β = 90.00°, γ = 90.00°
Space group Pm-3m (No. 221)
Unique sites:
In1 0.000 0.000 0.000 (multiplicity 1)
Si1 0.500 0.500 0.500 (multiplicity 1)
I1 0.000 0.000 0.500 (multiplicity 3)


A plane-wave DFT calculation with PBE-GGA was carried out for an optimized crystal structure of LaScGa4.

Calculated values
The total energy is -105.24 eV/cell. For the energy of formation, the calculation gives -0.491 eV/atom. As for the calculated volume: 483 Å³/cell.

a = 7.844 Å, b = 7.844 Å, c = 7.844 Å
α = 90.00°, β = 90.00°, γ = 90.00°
Space group F-43m (No. 216)
Unique sites:
La1 0.000 0.000 0.000 (multiplicity 4)
Sc1 0.250 0.250 0.250 (multiplicity 4)
Ga1 0.125 0.125 0.625 (multiplicity 16)


A plane-wave DFT calculation with PBE-GGA was carried out for an optimized crystal structure of LiPa2Ga5.

Calculated values
The total energy is -76.15 eV/cell. For the energy of formation, the calculation gives -0.254 eV/atom. As for the calculated volume: 317 Å³/cell.

a = 6.085 Å, b = 6.085 Å, c = 8.566 Å
α = 90.00°, β = 90.00°, γ = 90.00°
Space group I4mm (No. 107)
Unique sites:
Li1 0.000 0.000 0.000 (multiplicity 2)
Pa1 0.000 0.500 0.001 (multiplicity 4)
Ga1 0.000 0.000 0.502 (multiplicity 2)
Ga2 0.250 0.250 0.251 (multiplicity 8)


A plane-wave DFT calculation with PBE-GGA was carried out for an optimized crystal structure of HoPuS2.

Calculated values
The total energy is -104.31 eV/cell. The energy relative to the elements, uncorrected comes out at -1.901 eV/atom. As for the calculated volume: 256 Å³/cell.

a = 3.9042 Å, b = 3.9042 Å, c = 19.3644 Å
α = 90.00°, β = 90.00°, γ = 120.00°
Space group R-3m (No. 166, hexagonal axes)
Unique sites:
Ho1 0.0000 0.0000 0.0000 (multiplicity 3)
Pu1 0.0000 0.0000 0.5000 (multiplicity 3)
S1 0.0000 0.0000 0.2519 (multiplicity 6)


A plane-wave DFT calculation with PBE-GGA was carried out for an optimized crystal structure of NaReSe2N.

Calculated values
The total energy is -19.18 eV/cell. The energy relative to the elements, uncorrected comes out at 1.976 eV/atom. As for the calculated volume: 107 Å³/cell.

a = 5.110 Å, b = 5.110 Å, c = 4.083 Å
α = 90.00°, β = 90.00°, γ = 90.00°
Space group P4/mmm (No. 123)
Unique sites:
Na1 0.000 0.000 0.000 (multiplicity 1)
Re1 0.500 0.500 0.500 (multiplicity 1)
Se1 0.000 0.500 0.000 (multiplicity 2)
N1 0.000 0.000 0.500 (multiplicity 1)


A plane-wave DFT calculation with PBE-GGA was carried out for an optimized crystal structure of Rb3Sr2PaS6.

Calculated values
The total energy is -122.60 eV/cell. The energy relative to the elements, uncorrected comes out at -1.731 eV/atom. As for the calculated volume: 734 Å³/cell.

a = 7.443 Å, b = 12.880 Å, c = 8.052 Å
α = 90.00°, β = 108.02°, γ = 90.00°
Space group C2/m (No. 12)
Unique sites:
Rb1 0.000 0.000 0.000 (multiplicity 2)
Rb2 0.000 0.329 0.000 (multiplicity 4)
Sr1 0.000 0.166 0.500 (multiplicity 4)
Pa1 0.000 0.500 0.500 (multiplicity 2)
S1 0.216 0.350 0.697 (multiplicity 8)
S2 0.233 0.500 0.303 (multiplicity 4)


A plane-wave DFT calculation with PBE-GGA was carried out for an optimized crystal structure of TbNd4Sm3S8.

Calculated values
The total energy is -309.55 eV/cell. The energy relative to the elements, uncorrected comes out at -2.019 eV/atom. As for the calculated volume: 1111 Å³/cell.

a = 8.0489 Å, b = 8.0489 Å, c = 19.8059 Å
α = 90.00°, β = 90.00°, γ = 120.00°
Space group R-3m (No. 166, hexagonal axes)
Unique sites:
Tb1 0.0000 0.0000 0.0000 (multiplicity 3)
Nd1 0.0000 0.0000 0.5000 (multiplicity 3)
Nd2 0.0000 0.5000 0.5000 (multiplicity 9)
Sm1 0.0000 0.5000 0.0000 (multiplicity 9)
S1 0.0000 0.0000 0.2520 (multiplicity 6)
S2 0.0039 0.5020 0.7470 (multiplicity 18)


- What is the formula in the eighth record?
  TbNd4Sm3S8


- The lowest calculated volume belongs to which entry?
  NaReSe2N


Please write out number 7 again, unchanged.
A plane-wave DFT calculation with PBE-GGA was carried out for an optimized crystal structure of Rb3Sr2PaS6.

Calculated values
The total energy is -122.60 eV/cell. The energy relative to the elements, uncorrected comes out at -1.731 eV/atom. As for the calculated volume: 734 Å³/cell.

a = 7.443 Å, b = 12.880 Å, c = 8.052 Å
α = 90.00°, β = 108.02°, γ = 90.00°
Space group C2/m (No. 12)
Unique sites:
Rb1 0.000 0.000 0.000 (multiplicity 2)
Rb2 0.000 0.329 0.000 (multiplicity 4)
Sr1 0.000 0.166 0.500 (multiplicity 4)
Pa1 0.000 0.500 0.500 (multiplicity 2)
S1 0.216 0.350 0.697 (multiplicity 8)
S2 0.233 0.500 0.303 (multiplicity 4)


Repeat the seventh record exactly.
A plane-wave DFT calculation with PBE-GGA was carried out for an optimized crystal structure of Rb3Sr2PaS6.

Calculated values
The total energy is -122.60 eV/cell. The energy relative to the elements, uncorrected comes out at -1.731 eV/atom. As for the calculated volume: 734 Å³/cell.

a = 7.443 Å, b = 12.880 Å, c = 8.052 Å
α = 90.00°, β = 108.02°, γ = 90.00°
Space group C2/m (No. 12)
Unique sites:
Rb1 0.000 0.000 0.000 (multiplicity 2)
Rb2 0.000 0.329 0.000 (multiplicity 4)
Sr1 0.000 0.166 0.500 (multiplicity 4)
Pa1 0.000 0.500 0.500 (multiplicity 2)
S1 0.216 0.350 0.697 (multiplicity 8)
S2 0.233 0.500 0.303 (multiplicity 4)